Entry 1:
The following is a PBE-GGA calculation of a relaxed structure of TiNb2Rh7, from Alexandria.

Calculated values
ΔH_f (0 K)	119	meV/atom
crystal system	orthorhombic
total magnetic moment	0.0	μB per formula unit
V	17.13	A^3/atom
uncorrected energy	-7.83	eV per atom

Lattice parameters (Å, degrees): 2.7891 8.6436 8.6436 124.71 90.00 90.00
Last column: nearest neighbours and their distance in Å.
Element x y z (fractional)
1 Ti 0.0000 0.0000 0.0000  10 Rh 2.64-2.88, 2 Ti 2.79
2 Nb 0.5000 0.6685 0.3315  5 Rh 2.56-2.60, 2 Nb 2.79
3 Nb 0.5000 0.3315 0.6685  5 Rh 2.56-2.60, 2 Nb 2.79
4 Rh 0.0000 0.8120 0.1880  2 Nb 2.60, 6 Rh 2.64-2.79, 1 Ti 2.88
5 Rh 0.0000 0.1880 0.8120  2 Nb 2.60, 6 Rh 2.64-2.79, 1 Ti 2.88
6 Rh 0.5000 0.1209 0.3086  1 Nb 2.56, 2 Ti 2.64, 5 Rh 2.64-2.79
7 Rh 0.5000 0.8791 0.6914  1 Nb 2.56, 2 Ti 2.64, 5 Rh 2.64-2.79
8 Rh 0.5000 0.3086 0.1209  1 Nb 2.56, 2 Ti 2.64, 5 Rh 2.64-2.79
9 Rh 0.5000 0.6914 0.8791  1 Nb 2.56, 2 Ti 2.64, 5 Rh 2.64-2.79
10 Rh 0.5000 0.5000 0.5000  2 Nb 2.58, 6 Rh 2.70-2.79

Entry 2:
The following is a PBE-GGA calculation of a relaxed structure of TiNbRh5, from Alexandria.

Calculated values
ΔH_f (0 K)	-334	meV/atom
crystal system	tetragonal
total magnetic moment	0.0	μB per formula unit
V	15.71	A^3/atom
uncorrected energy	-8.15	eV per atom

Lattice parameters (Å, degrees): 4.0218 4.0218 6.7969 90.00 90.00 90.00
Last column: nearest neighbours and their distance in Å.
Element x y z (fractional)
1 Ti 0.5000 0.5000 0.0000  8 Rh 2.52
2 Nb 0.0000 0.0000 0.5000  12 Rh 2.75-2.84
3 Rh 0.0000 0.5000 0.7761  2 Ti 2.52, 2 Rh 2.75, 2 Nb 2.75
4 Rh 0.0000 0.5000 0.2239  2 Ti 2.52, 2 Rh 2.75, 2 Nb 2.75
5 Rh 0.5000 0.0000 0.7761  2 Ti 2.52, 2 Nb 2.75, 2 Rh 2.75
6 Rh 0.5000 0.0000 0.2239  2 Ti 2.52, 2 Nb 2.75, 2 Rh 2.75
7 Rh 0.5000 0.5000 0.5000  8 Rh 2.75, 4 Nb 2.84

Entry 3:
The following is a PBE-GGA calculation of a relaxed structure of TiNb6Rh2, from Alexandria.

Calculated values
ΔH_f (0 K)	-275	meV/atom
crystal system	monoclinic
total magnetic moment	0.0	μB per formula unit
V	17.13	A^3/atom
uncorrected energy	-9.50	eV per atom

Lattice parameters (Å, degrees): 3.3144 5.3806 9.4178 76.04 79.87 72.06
Last column: nearest neighbours and their distance in Å.
Element x y z (fractional)
1 Ti 0.0000 0.0000 0.0000  4 Rh 2.72, 4 Nb 2.87
2 Nb 0.6718 0.5461 0.1103  4 Nb 2.75-2.77, 2 Rh 2.81, 2 Ti 2.87
3 Nb 0.3282 0.4539 0.8897  4 Nb 2.75-2.77, 2 Rh 2.81, 2 Ti 2.87
4 Nb 0.3320 0.7805 0.5555  6 Nb 2.82-2.84, 2 Rh 2.86
5 Nb 0.0042 0.6627 0.3290  6 Nb 2.77-2.84, 2 Rh 2.84
6 Nb 0.9958 0.3373 0.6710  6 Nb 2.77-2.84, 2 Rh 2.84
7 Nb 0.6680 0.2195 0.4445  6 Nb 2.82-2.84, 2 Rh 2.86
8 Rh 0.3407 0.1047 0.2139  2 Ti 2.72, 6 Nb 2.81-2.86
9 Rh 0.6593 0.8953 0.7861  2 Ti 2.72, 6 Nb 2.81-2.86

Entry 4:
The following is a PBE-GGA calculation of a relaxed structure of Ti4NbRh, from Alexandria.

Calculated values
ΔH_f (0 K)	-177	meV/atom
crystal system	triclinic
ΔE to the lowest computed polymorph	0.0	meV per atom
total magnetic moment	0.0	μB per formula unit
V	17.06	A^3/atom
uncorrected energy	-8.34	eV per atom

Lattice parameters (Å, degrees): 5.1418 6.9671 7.2958 112.00 114.14 99.62
Last column: nearest neighbours and their distance in Å.
Element x y z (fractional)
1 Ti 0.9309 0.3735 0.6530  2 Rh 2.57-2.74, 2 Nb 2.78-2.84, 2 Ti 2.80-2.83
2 Ti 0.5700 0.2323 0.1668  1 Rh 2.63, 6 Ti 2.78-2.91, 1 Nb 2.86
3 Ti 0.8980 0.1534 0.9337  2 Rh 2.56-2.75, 3 Ti 2.81-2.84, 2 Nb 2.82-2.86
4 Ti 0.2663 0.0675 0.6877  1 Rh 2.63, 5 Ti 2.64-2.81, 1 Nb 2.92
5 Ti 0.0691 0.6265 0.3470  2 Rh 2.57-2.74, 2 Nb 2.78-2.84, 2 Ti 2.80-2.83
6 Ti 0.4300 0.7677 0.8332  1 Rh 2.63, 6 Ti 2.78-2.91, 1 Nb 2.86
7 Ti 0.1020 0.8466 0.0663  2 Rh 2.56-2.75, 3 Ti 2.81-2.84, 2 Nb 2.82-2.86
8 Ti 0.7337 0.9325 0.3123  1 Rh 2.63, 5 Ti 2.64-2.81, 1 Nb 2.92
9 Nb 0.2427 0.2869 0.4063  9 Ti 2.78-3.06, 1 Rh 2.87, 1 Nb 3.01
10 Nb 0.7573 0.7131 0.5937  9 Ti 2.78-3.06, 1 Rh 2.87, 1 Nb 3.01
11 Rh 0.6690 0.4742 0.8900  6 Ti 2.56-2.75, 1 Rh 2.79, 1 Nb 2.87
12 Rh 0.3310 0.5258 0.1100  6 Ti 2.56-2.75, 1 Rh 2.79, 1 Nb 2.87

Entry 5:
The following is a PBE-GGA calculation of a relaxed structure of TiNbTl2Rh, from Alexandria.

Calculated values
ΔH_f (0 K)	1207	meV/atom
crystal system	tetragonal
total magnetic moment	0.0	μB per formula unit
V	26.59	A^3/atom
uncorrected energy	-4.80	eV per atom

Lattice parameters (Å, degrees): 5.3774 4.5983 5.3774 90.00 90.00 90.00
Last column: nearest neighbours and their distance in Å.
Element x y z (fractional)
1 Tl 0.0000 0.0000 0.5000  2 Nb 2.69
2 Tl 0.5000 0.0000 0.0000  2 Nb 2.69
3 Rh 0.5000 0.5000 0.5000  8 Tl 3.54, 4 Ti 3.80
4 Nb 0.0000 0.0000 0.0000  2 Ti 2.30
5 Ti 0.0000 0.5000 0.0000  2 Nb 2.30

Entry 6:
The following is a PBE-GGA calculation of a relaxed structure of TiNbZnRh, from Alexandria.

Calculated values
ΔH_f (0 K)	-250	meV/atom
crystal system	cubic
total magnetic moment	2.0	μB per formula unit
V	15.71	A^3/atom
uncorrected energy	-6.90	eV per atom

Lattice parameters (Å, degrees): 4.4624 4.4624 4.4624 60.00 60.00 60.00
Last column: nearest neighbours and their distance in Å.
Element x y z (fractional)
1 Nb 0.0000 0.0000 0.0000  4 Rh 2.73, 4 Ti 2.73
2 Rh 0.7500 0.7500 0.7500  4 Nb 2.73, 4 Zn 2.73
3 Zn 0.5000 0.5000 0.5000  4 Ti 2.73, 4 Rh 2.73
4 Ti 0.2500 0.2500 0.2500  4 Zn 2.73, 4 Nb 2.73

Entry 7:
The following is a PBE-GGA calculation of a relaxed structure of Ti2NbZn2Rh2, from Alexandria.

Calculated values
ΔH_f (0 K)	-372	meV/atom
crystal system	monoclinic
total magnetic moment	0.0	μB per formula unit
V	16.30	A^3/atom
uncorrected energy	-6.53	eV per atom

Lattice parameters (Å, degrees): 4.3864 4.3906 7.3057 107.72 89.96 119.98
Last column: nearest neighbours and their distance in Å.
Element x y z (fractional)
1 Ti 0.6078 0.2138 0.8250  4 Rh 2.55-2.69, 3 Nb 2.80-2.81
2 Ti 0.3922 0.7862 0.1750  4 Rh 2.55-2.69, 3 Nb 2.80-2.81
3 Nb 0.0000 0.0000 0.0000  2 Zn 2.79, 6 Ti 2.80-2.81, 6 Rh 2.94
4 Zn 0.1371 0.2747 0.4080  4 Rh 2.56-2.85, 1 Nb 2.79, 3 Zn 2.81-2.85
5 Zn 0.8629 0.7253 0.5920  4 Rh 2.56-2.85, 1 Nb 2.79, 3 Zn 2.81-2.85
6 Rh 0.7397 0.4808 0.2180  4 Ti 2.55-2.69, 4 Zn 2.56-2.85
7 Rh 0.2603 0.5192 0.7820  4 Ti 2.55-2.69, 4 Zn 2.56-2.85

Entry 8:
The following is a PBE-GGA calculation of a relaxed structure of ZrTiNbRh, from Alexandria.

Calculated values
ΔH_f (0 K)	-315	meV/atom
crystal system	cubic
total magnetic moment	0.0	μB per formula unit
V	17.37	A^3/atom
uncorrected energy	-8.78	eV per atom

Lattice parameters (Å, degrees): 4.6141 4.6141 4.6141 60.00 60.00 60.00
Last column: nearest neighbours and their distance in Å.
Element x y z (fractional)
1 Nb 0.0000 0.0000 0.0000  4 Zr 2.83, 4 Ti 2.83
2 Rh 0.5000 0.5000 0.5000  4 Zr 2.83, 4 Ti 2.83
3 Zr 0.7500 0.7500 0.7500  4 Rh 2.83, 4 Nb 2.83
4 Ti 0.2500 0.2500 0.2500  4 Nb 2.83, 4 Rh 2.83

Entry 9:
The following is a PBE-GGA calculation of a relaxed structure of ZrTiNb2Rh, from Alexandria.

Calculated values
ΔH_f (0 K)	1110	meV/atom
crystal system	tetragonal
total magnetic moment	0.0	μB per formula unit
V	20.84	A^3/atom
uncorrected energy	-7.68	eV per atom

Lattice parameters (Å, degrees): 4.6203 4.8803 4.6203 90.00 90.00 90.00
Last column: nearest neighbours and their distance in Å.
Element x y z (fractional)
1 Nb 0.0000 0.0000 0.5000  2 Ti 2.31
2 Nb 0.5000 0.0000 0.0000  2 Ti 2.31
3 Rh 0.5000 0.5000 0.5000  4 Zr 3.27, 8 Nb 3.36
4 Zr 0.0000 0.5000 0.0000  2 Ti 2.44
5 Ti 0.0000 0.0000 0.0000  4 Nb 2.31, 2 Zr 2.44

Entry 10:
The following is a PBE-GGA calculation of a relaxed structure of Nb2TlRh, from Alexandria.

Calculated values
ΔH_f (0 K)	329	meV/atom
crystal system	cubic
ΔE to the lowest computed polymorph	0.0	meV per atom
total magnetic moment	0.0	μB per formula unit
V	18.43	A^3/atom
uncorrected energy	-7.13	eV per atom

Lattice parameters (Å, degrees): 4.7063 4.7063 4.7063 60.00 60.00 60.00
Last column: nearest neighbours and their distance in Å.
Element x y z (fractional)
1 Tl 0.5000 0.5000 0.5000  8 Nb 2.88
2 Rh 0.0000 0.0000 0.0000  8 Nb 2.88
3 Nb 0.2500 0.2500 0.2500  4 Tl 2.88, 4 Rh 2.88
4 Nb 0.7500 0.7500 0.7500  4 Rh 2.88, 4 Tl 2.88